First-principles (GGA-PBE) data for crystalline BaCe2Cl6 at its relaxed geometry, as listed in Alexandria via LeMat-Bulk.

Computed properties:
Final energy (eV/atom): -4.8804
Mass density (kg/m3): 4161
D(E_F) (states/eV per atom): 1.51

Cell lengths 16.1740, 9.5148, 6.8191 Å; angles 90.00, 106.51, 90.00 degrees
Space group C2/c (No. 15)
Unique sites:
Ba 0.0000 0.2485 0.2500 x4
Ce 0.2502 0.0068 0.0007 x8
Cl 0.1023 0.0646 0.6457 x8
Cl 0.1023 0.4345 0.6440 x8
Cl 0.1999 0.2502 0.2269 x8